[1]
Entry from Alexandria: a geometry-optimized MnAs2 structure (PBE).

a = 4.4770 Å, b = 4.4770 Å, c = 2.8753 Å
α = 90.00°, β = 90.00°, γ = 120.00°
Last column: nearest neighbours and their distance in Å.
Space group P-3m1 (No. 164)
Asymmetric unit:
Mn  0.0000  0.0000  0.0000 [1 per cell]  6 As 2.64, 2 Mn 2.88
As  0.3333  0.6667  0.1822 [2 per cell]  3 Mn 2.64, 5 As 2.79-2.88

[2]
Entry from Alexandria: a geometry-optimized MnAs3 structure (PBE).

Properties
E above lowest polymorph, eV/atom: 0.147

a = 7.4610 Å, b = 7.4610 Å, c = 6.3846 Å
α = 90.00°, β = 90.00°, γ = 120.00°
Last column: nearest neighbours and their distance in Å.
Space group P6_3/mmc (No. 194)
Asymmetric unit:
Mn  0.0000  0.0000  0.0000 [2 per cell]  6 As 2.60
Mn  0.3333  0.6667  0.2500 [2 per cell]  6 As 2.68
As  0.0000  0.5000  0.0000 [6 per cell]  2 Mn 2.68, 4 As 2.72
As  0.1585  0.3170  0.7500 [6 per cell]  2 Mn 2.60, 4 As 2.72

[3]
Entry from Alexandria: a geometry-optimized MnAs4 structure (PBE).

a = 4.5816 Å, b = 4.5816 Å, c = 4.5816 Å
α = 90.00°, β = 90.00°, γ = 90.00°
Last column: nearest neighbours and their distance in Å.
Space group Pm-3m (No. 221)
Asymmetric unit:
Mn  0.0000  0.0000  0.0000 [1 per cell]  6 As 2.29
As  0.0000  0.0000  0.5000 [3 per cell]  2 Mn 2.29
As  0.5000  0.5000  0.5000 [1 per cell]  12 As 3.24

[4]
Entry from Alexandria: a geometry-optimized Mn2As3 structure (PBE).

a = 5.8121 Å, b = 5.8121 Å, c = 16.1534 Å
α = 90.00°, β = 90.00°, γ = 120.00°
Last column: nearest neighbours and their distance in Å.
Space group R-3c (No. 167, hexagonal axes)
Asymmetric unit:
Mn  0.0000  0.0000  0.1683 [12 per cell]  6 As 2.33-2.44
As  0.0000  0.3527  0.2500 [18 per cell]  4 Mn 2.33-2.44

[5]
Entry from Alexandria: a geometry-optimized MnAs3 structure (PBE).

Properties
E above lowest polymorph, eV/atom: 0.064

a = 2.8508 Å, b = 11.5182 Å, c = 4.9220 Å
α = 90.00°, β = 90.00°, γ = 90.00°
Last column: nearest neighbours and their distance in Å.
Space group Imm2 (No. 44)
Asymmetric unit:
Mn  0.0000  0.0000  0.0000 [2 per cell]  6 As 2.47-2.57
As  0.0000  0.3434  0.7314 [4 per cell]  1 As 2.53, 2 Mn 2.57
As  0.0000  0.5000  0.0904 [2 per cell]  2 Mn 2.47, 2 As 2.53

[6]
Entry from Alexandria: a geometry-optimized MnAs4 structure (PBE).

a = 6.1424 Å, b = 6.1424 Å, c = 4.8675 Å
α = 90.00°, β = 90.00°, γ = 90.00°
Last column: nearest neighbours and their distance in Å.
Space group I4/m (No. 87)
Asymmetric unit:
Mn  0.0000  0.0000  0.0000 [2 per cell]  4 As 2.57
As  0.1334  0.7026  0.5000 [8 per cell]  1 Mn 2.57, 2 As 2.83

[7]
Entry from Alexandria: a geometry-optimized Mn4As3 structure (PBE).

Properties
E above lowest polymorph, eV/atom: 0.627

a = 5.2770 Å, b = 5.2770 Å, c = 4.8188 Å
α = 90.00°, β = 90.00°, γ = 120.00°
Last column: nearest neighbours and their distance in Å.
Space group P6/mmm (No. 191)
Asymmetric unit:
Mn  0.0000  0.0000  0.2451 [2 per cell]  2 Mn 2.36-2.46
Mn  0.3333  0.6667  0.0000 [2 per cell]  6 As 2.85, 3 Mn 3.05
As  0.0000  0.5000  0.5000 [3 per cell]  4 As 2.64, 8 Mn 2.85-2.91

[8]
Entry from Alexandria: a geometry-optimized MnAs3 structure (PBE).

Properties
E above lowest polymorph, eV/atom: 0.381

a = 7.5601 Å, b = 11.8458 Å, c = 3.4874 Å
α = 90.00°, β = 90.00°, γ = 90.00°
Last column: nearest neighbours and their distance in Å.
Space group Cmcm (No. 63)
Asymmetric unit:
Mn  0.0000  0.0484  0.2500 [4 per cell]  2 Mn 2.09
As  0.0000  0.4121  0.2500 [4 per cell]  6 As 2.70-2.72
As  0.2455  0.3372  0.7500 [8 per cell]  1 Mn 2.35

no.,formation energy from the elements (kJ/mol of atoms)
1,24
2,15
3,43
4,-14
5,6
6,33
7,44
8,37